Entry 1:
VASP calculation (PBE) on an optimized crystal structure of SrCaP.

a b c (Å): 5.005 5.005 5.005
angles (deg): 60.00 60.00 60.00
Atoms (fractional coordinates):
1 Sr 0.000 0.000 0.000
2 Ca 0.500 0.500 0.500
3 P 0.250 0.250 0.250

Its space group is No. 216. Its formation energy is -0.84 eV per atom. Its total energy is -11.610 eV/f.u. Its spin magnetization is 0.00 μB per cell. For the volume, the calculation gives 88.7 Å³/f.u.


Entry 2:
VASP calculation (PBE) on an optimized crystal structure of CrIrOs.

a b c (Å): 4.031 4.031 4.031
angles (deg): 60.00 60.00 60.00
Atoms (fractional coordinates):
1 Cr 0.000 0.000 0.000
2 Ir 0.250 0.250 0.250
3 Os 0.750 0.750 0.750

Its space group is No. 216. Its formation energy is 0.33 eV per atom. Its total energy is -28.725 eV/f.u. Its spin magnetization is 0.00 μB per cell. For the volume, the calculation gives 46.3 Å³/f.u.